Entry 1:
Here is PrMg2Cd after structural relaxation from Alexandria. Energies are from PBE.

Calculated values
E ... -9.824 eV for the cell shown
Spin magnetization ... 0.000 μB per formula unit
DFT formation energy ... -0.24 eV/atom
Relative energy among the computed polymorphs ... 0.0 meV/atom

The structure in extended XYZ format:
```
4
Lattice="-2.619 2.619 3.681 2.619 -2.619 3.681 2.619 2.619 -3.681" Properties=species:S:1:pos:R:3 pbc="T T T"
Pr 0.000 0.000 0.000
Mg 2.619 0.000 1.840
Mg 0.000 0.000 3.681
Cd 0.000 2.619 1.840
```

=====

Entry 2:
Here is PrMgCd17 after structural relaxation from Alexandria. Energies are from PBE.

Calculated values
E ... -23.102 eV for the cell shown
Spin magnetization ... 0.000 μB per formula unit
DFT formation energy ... -0.06 eV/atom

The structure in extended XYZ format:
```
19
Lattice="5.024 2.900 5.091 -5.024 2.900 5.091 0.000 -5.801 5.091" Properties=species:S:1:pos:R:3 pbc="T T T"
Pr 0.000 0.000 0.000
Mg 0.000 0.000 5.365
Cd 0.000 -2.126 2.894
Cd -1.841 1.063 2.894
Cd -2.844 -1.642 7.773
Cd 0.000 -2.659 7.218
Cd -2.303 1.329 7.218
Cd -1.496 -2.640 10.183
Cd -3.034 0.025 10.183
Cd 1.841 1.063 2.894
Cd 0.000 0.000 8.545
Cd 1.496 -2.640 10.183
Cd -1.538 2.615 10.183
Cd 2.844 -1.642 7.773
Cd 0.000 3.284 7.773
Cd 0.000 0.000 11.480
Cd 2.303 1.329 7.218
Cd 3.034 0.025 10.183
Cd 1.538 2.615 10.183
```

=====

Entry 3:
Here is PrMg6Cd6 after structural relaxation from Alexandria. Energies are from PBE.

Calculated values
E ... -21.980 eV for the cell shown
Spin magnetization ... 0.000 μB per formula unit
DFT formation energy ... -0.16 eV/atom

The structure in extended XYZ format:
```
13
Lattice="-3.018 4.912 5.028 3.018 -4.912 5.028 3.018 4.912 -5.028" Properties=species:S:1:pos:R:3 pbc="T T T"
Pr 0.000 0.000 0.000
Mg 1.509 2.456 -2.514
Mg 1.509 -2.456 2.514
Mg 3.018 2.149 0.000
Mg -1.509 2.456 2.514
Mg 1.509 2.456 2.514
Mg 0.000 2.763 5.028
Cd 3.018 0.000 2.084
Cd 0.000 3.402 0.000
Cd 0.000 0.000 3.518
Cd 0.000 0.000 6.538
Cd 0.000 6.423 0.000
Cd 0.000 4.912 2.944
```

=====

Entry 4:
Here is Pr2Mg6Cd3 after structural relaxation from Alexandria. Energies are from PBE.

Calculated values
E ... -23.142 eV for the cell shown
Spin magnetization ... 0.000 μB per formula unit
DFT formation energy ... -0.12 eV/atom

The structure in extended XYZ format:
```
11
Lattice="8.375 0.000 0.000 -4.187 7.253 0.000 0.000 0.000 4.705" Properties=species:S:1:pos:R:3 pbc="T T T"
Pr 0.000 4.835 0.000
Pr 4.187 2.418 0.000
Mg -1.101 1.908 2.353
Mg -3.317 5.746 0.000
Mg 0.870 1.507 0.000
Mg 2.203 0.000 2.353
Mg 3.086 5.345 2.353
Mg 6.634 0.000 0.000
Cd -2.491 4.314 2.353
Cd 1.697 2.939 2.353
Cd 4.981 0.000 2.353
```

=====

- Which of these has the highest E?
  PrMg2Cd